(1)
! NdPaOs PBE relaxed; values from VASP
&SYSTEM
  ibrav = 0, nat = 3, ntyp = 3
/
ATOMIC_SPECIES
Nd 144.24 Nd.upf
Os 190.23 Os.upf
Pa 231.04 Pa.upf
CELL_PARAMETERS angstrom
-2.545 4.012 0.890
-4.780 0.039 -0.720
-3.012 0.163 3.777
ATOMIC_POSITIONS crystal
Nd 0.500 0.500 0.500
Os 0.250 0.250 0.250
Pa 0.000 0.000 0.000
! Offset from the most stable computed form (kJ/mol of atoms): 23.8
! SG: F-43m

(2)
! PaMnCrGe2 PBE relaxed; values from VASP
&SYSTEM
  ibrav = 0, nat = 5, ntyp = 4
/
ATOMIC_SPECIES
Cr 52.00 Cr.upf
Ge 72.64 Ge.upf
Mn 54.94 Mn.upf
Pa 231.04 Pa.upf
CELL_PARAMETERS angstrom
4.012 0.000 0.000
0.000 4.012 0.000
-2.006 -2.006 5.271
ATOMIC_POSITIONS crystal
Cr 0.750 0.250 0.500
Ge 0.380 0.380 0.761
Ge 0.620 0.620 0.239
Mn 0.250 0.750 0.500
Pa 0.000 0.000 0.000
! Total energy (eV per cell): -38.93
! SG: I-4m2